P.
{"formula": "Cu3Br4", "functional": "PBE-GGA", "state": "optimized geometry", "lattice_angstrom": [[-1.3004, 5.6321, 1.2372], [-2.2683, -2.5676, -4.8170], [-3.9547, -1.4976, 2.6605]], "species": ["Cu", "Cu", "Cu", "Br", "Br", "Br", "Br"], "frac_coords": [[0.0000, 0.5000, 0.0000], [0.5000, 0.5000, 0.0000], [0.5000, 0.0000, 0.0000], [0.3333, 0.6667, 0.5000], [0.0000, 0.0000, 0.2514], [0.6667, 0.3333, 0.5000], [0.0000, 0.0000, 0.7486]], "volume_a3_per_fu": 151.2, "magmom_total_mub_per_atom": 0.0000}

***

Q.
{"formula": "Cu3Br4", "functional": "PBE-GGA", "state": "optimized geometry", "lattice_angstrom": [[5.6260, 0.0000, 0.0000], [0.0000, 5.6260, 0.0000], [0.0000, 0.0000, 5.6260]], "species": ["Br", "Br", "Br", "Br", "Cu", "Cu", "Cu"], "frac_coords": [[0.2523, 0.7477, 0.2523], [0.7477, 0.7477, 0.7477], [0.2523, 0.2523, 0.7477], [0.7477, 0.2523, 0.2523], [0.0000, 0.0000, 0.5000], [0.5000, 0.0000, 0.0000], [0.0000, 0.5000, 0.0000]], "volume_a3_per_fu": 178.1, "magmom_total_mub_per_atom": 0.0000}

***

Q is preferred energetically. Next in line: 0.754 eV/atom higher.